<a>
Cu2Ag: relaxed, PBE-GGA.

Space group: No. 8

Lattice parameters (Å, degrees): 4.842 4.842 10.364 110.73 110.73 33.52
Element x y z (fractional)
1 Cu 0.000 0.000 0.000
2 Cu 0.000 0.000 0.334
3 Cu 0.325 0.325 0.807
4 Cu 0.358 0.358 0.455
5 Cu 0.360 0.360 0.119
6 Cu 0.683 0.683 0.927
7 Ag 0.005 0.005 0.701
8 Ag 0.677 0.677 0.560
9 Ag 0.680 0.680 0.227

=====

<b>
Cu2Ag: relaxed, PBE-GGA.

Space group: No. 12

Lattice parameters (Å, degrees): 4.692 4.692 5.474 107.66 107.66 47.58
Element x y z (fractional)
1 Cu 0.006 0.006 0.273
2 Cu 0.341 0.341 0.425
3 Cu 0.659 0.659 0.575
4 Cu 0.994 0.994 0.727
5 Ag 0.332 0.332 0.905
6 Ag 0.668 0.668 0.095

=====

<a> is preferred energetically. Next in line: 6 meV per atom higher.

=====

<a>
SrHgSeO: relaxed, PBE-GGA.

Space group: No. 19

Lattice parameters (Å, degrees): 6.713 8.161 8.224 90.00 90.00 90.00
Element x y z (fractional)
1 Sr 0.011 0.188 0.118
2 Sr 0.489 0.812 0.618
3 Sr 0.511 0.312 0.882
4 Sr 0.989 0.688 0.382
5 Hg 0.122 0.618 0.939
6 Hg 0.378 0.382 0.439
7 Hg 0.622 0.882 0.061
8 Hg 0.878 0.118 0.561
9 Se 0.223 0.913 0.916
10 Se 0.277 0.087 0.416
11 Se 0.723 0.587 0.084
12 Se 0.777 0.413 0.584
13 O 0.186 0.369 0.959
14 O 0.314 0.631 0.459
15 O 0.686 0.131 0.041
16 O 0.814 0.869 0.541

=====

<b>
SrHgSeO: relaxed, PBE-GGA.

Space group: No. 129

Lattice parameters (Å, degrees): 5.124 5.124 7.880 90.00 90.00 90.00
Element x y z (fractional)
1 Sr 0.250 0.250 0.191
2 Sr 0.750 0.750 0.809
3 Hg 0.250 0.250 0.648
4 Hg 0.750 0.750 0.352
5 Se 0.250 0.750 0.500
6 Se 0.750 0.250 0.500
7 O 0.250 0.250 0.915
8 O 0.750 0.750 0.085

=====

<a> is preferred energetically. Next in line: 249 meV per atom higher.

=====

<a>
TbGeNO: relaxed, PBE-GGA.

Space group: No. 29
Total moment, μB/cell: 0.0

Lattice parameters (Å, degrees): 6.427 6.631 5.487 90.00 90.00 90.00
Element x y z (fractional)
1 Tb 0.072 0.180 0.000
2 Tb 0.428 0.180 0.500
3 Tb 0.572 0.820 0.000
4 Tb 0.928 0.820 0.500
5 Ge 0.111 0.675 0.005
6 Ge 0.389 0.675 0.505
7 Ge 0.611 0.325 0.005
8 Ge 0.889 0.325 0.505
9 N 0.088 0.124 0.585
10 N 0.412 0.124 0.085
11 N 0.588 0.876 0.585
12 N 0.912 0.876 0.085
13 O 0.047 0.465 0.241
14 O 0.453 0.465 0.741
15 O 0.547 0.535 0.241
16 O 0.953 0.535 0.741

=====

<b>
TbGeNO: relaxed, PBE-GGA.

Space group: No. 129
Total moment, μB/cell: 0.0

Lattice parameters (Å, degrees): 4.167 4.167 7.727 90.00 90.00 90.00
Element x y z (fractional)
1 Tb 0.250 0.250 0.125
2 Tb 0.750 0.750 0.875
3 Ge 0.250 0.750 0.500
4 Ge 0.750 0.250 0.500
5 N 0.250 0.250 0.414
6 N 0.750 0.750 0.586
7 O 0.250 0.750 0.000
8 O 0.750 0.250 0.000

=====

<a> is preferred energetically. Next in line: 75 meV per atom higher.